(1)
The following is a DFT calculation (PBE) of crystalline K2MoP at its relaxed geometry.

Cell and atoms, written as extended XYZ:
```
8
Lattice="-12.488 -1.442 0.057 0.641 -5.987 -11.035 -5.680 -5.781 -4.354" Properties=species:S:1:pos:R:3 pbc="T T T"
P -5.923 -3.714 -5.489
P -5.481 -7.741 -10.439
Mo 0.000 0.000 0.000
Mo -12.045 -5.468 -4.893
K -6.715 -2.814 -2.443
K -5.010 -5.648 -7.967
K -8.578 -8.286 -9.529
K -14.750 -9.671 -10.725
```

Computed properties:
E ... -4.163 eV/atom
DOS(E_F) ... 2.1 states/eV/f.u.



(2)
The following is a DFT calculation (PBE) of crystalline GdTmIn2 at its relaxed geometry.

Cell and atoms, written as extended XYZ:
```
4
Lattice="3.662 0.000 0.000 1.831 3.171 0.000 1.831 1.057 9.790" Properties=species:S:1:pos:R:3 pbc="T T T"
Gd 3.662 2.114 4.895
Tm 0.000 0.000 0.000
In 1.831 1.057 2.401
In 5.493 3.171 7.389
```

Computed properties:
E ... -6.324 eV/atom
DOS(E_F) ... 2.8 states/eV/f.u.